Entry 1:
Computed, not measured: a geometry-optimized BaYTl4 structure at the PBE level of DFT.

total moment = 0.000 μB per cell
distance to the lowest polymorph of the same formula = 0 meV per atom
ΔE_f = -0.14 eV per atom

Geometry as CIF:
```
data_BaYTl4
_chemical_formula_sum 'Ba4 Y4 Tl16'
_cell_length_a 9.109
_cell_length_b 9.109
_cell_length_c 9.109
_cell_angle_alpha 90.00
_cell_angle_beta 90.00
_cell_angle_gamma 90.00
_symmetry_space_group_name_H-M 'F -4 3 m'
_symmetry_Int_Tables_number 216
_symmetry_space_group_name_Hall 'F -4 2 3'
loop_
_atom_site_label
_atom_site_type_symbol
_atom_site_fract_x
_atom_site_fract_y
_atom_site_fract_z
_atom_site_occupancy
Ba1 Ba 0.000 0.000 0.000 1
Y1 Y 0.250 0.250 0.250 1
Tl1 Tl 0.124 0.124 0.624 1
```

---

Entry 2:
Computed, not measured: a geometry-optimized Ac3Ge2SbPt9 structure at the PBE level of DFT.

total moment = 0.000 μB per cell
DFT total energy = -6.0013 eV/atom

Geometry as CIF:
```
data_Ac3Ge2SbPt9
_chemical_formula_sum 'Ac3 Ge2 Sb1 Pt9'
_cell_length_a 6.6777
_cell_length_b 6.6777
_cell_length_c 9.2542
_cell_angle_alpha 90.00
_cell_angle_beta 90.00
_cell_angle_gamma 120.00
_symmetry_space_group_name_H-M 'P -3 m 1'
_symmetry_Int_Tables_number 164
_symmetry_space_group_name_Hall '-P 3 2"'
loop_
_atom_site_label
_atom_site_type_symbol
_atom_site_fract_x
_atom_site_fract_y
_atom_site_fract_z
_atom_site_occupancy
Ac1 Ac 0.0000 0.0000 0.0000 1
Ac2 Ac 0.3333 0.6667 0.7162 1
Ge1 Ge 0.3333 0.6667 0.1788 1
Sb1 Sb 0.0000 0.0000 0.5000 1
Pt1 Pt 0.0000 0.5000 0.0000 1
Pt2 Pt 0.1432 0.2864 0.2792 1
```

---

Entry 3:
Computed, not measured: a geometry-optimized Ho2NpPd9 structure at the PBE level of DFT.

total moment = 2.576 μB per cell
ΔE_f = -0.76 eV per atom

Geometry as CIF:
```
data_Ho2NpPd9
_chemical_formula_sum 'Ho2 Np1 Pd9'
_cell_length_a 4.115
_cell_length_b 4.115
_cell_length_c 12.363
_cell_angle_alpha 90.00
_cell_angle_beta 90.00
_cell_angle_gamma 90.00
_symmetry_space_group_name_H-M 'P 4/m m m'
_symmetry_Int_Tables_number 123
_symmetry_space_group_name_Hall '-P 4 2'
loop_
_atom_site_label
_atom_site_type_symbol
_atom_site_fract_x
_atom_site_fract_y
_atom_site_fract_z
_atom_site_occupancy
Ho1 Ho 0.000 0.000 0.163 1
Np1 Np 0.000 0.000 0.500 1
Pd1 Pd 0.000 0.500 0.000 1
Pd2 Pd 0.000 0.500 0.337 1
Pd3 Pd 0.500 0.500 0.167 1
Pd4 Pd 0.500 0.500 0.500 1
```

---

Entry 4:
Computed, not measured: a geometry-optimized LaMgSiPt6 structure at the PBE level of DFT.

total moment = 0.000 μB per cell
DFT total energy = -5.9070 eV/atom

Geometry as CIF:
```
data_LaMgSiPt6
_chemical_formula_sum 'La4 Mg4 Si4 Pt24'
_cell_length_a 6.733
_cell_length_b 9.228
_cell_length_c 11.275
_cell_angle_alpha 90.00
_cell_angle_beta 90.00
_cell_angle_gamma 90.00
_symmetry_space_group_name_H-M 'I m m a'
_symmetry_Int_Tables_number 74
_symmetry_space_group_name_Hall '-I 2b 2'
loop_
_atom_site_label
_atom_site_type_symbol
_atom_site_fract_x
_atom_site_fract_y
_atom_site_fract_z
_atom_site_occupancy
La1 La 0.000 0.250 0.174 1
Mg1 Mg 0.250 0.250 0.750 1
Si1 Si 0.000 0.000 0.500 1
Pt1 Pt 0.000 0.250 0.430 1
Pt2 Pt 0.000 0.250 0.919 1
Pt3 Pt 0.224 0.008 0.875 1
```

---

Entry 5:
Computed, not measured: a geometry-optimized Cs4Pr3YSe8 structure at the PBE level of DFT.

total moment = 0.000 μB per cell
DFT total energy = -4.9820 eV/atom

Geometry as CIF:
```
data_Cs4Pr3YSe8
_chemical_formula_sum 'Cs12 Pr9 Y3 Se24'
_cell_length_a 8.7893
_cell_length_b 8.7893
_cell_length_c 25.2290
_cell_angle_alpha 90.00
_cell_angle_beta 90.00
_cell_angle_gamma 120.00
_symmetry_space_group_name_H-M 'R -3 m'
_symmetry_Int_Tables_number 166
_symmetry_space_group_name_Hall '-R 3 2"'
loop_
_atom_site_label
_atom_site_type_symbol
_atom_site_fract_x
_atom_site_fract_y
_atom_site_fract_z
_atom_site_occupancy
Cs1 Cs 0.0000 0.0000 0.0000 1
Cs2 Cs 0.0000 0.5000 0.0000 1
Pr1 Pr 0.0000 0.5000 0.5000 1
Y1 Y 0.0000 0.0000 0.5000 1
Se1 Se 0.0000 0.0000 0.2309 1
Se2 Se 0.0083 0.5041 0.2298 1
```

---

Entry 6:
Computed, not measured: a geometry-optimized TmNbIr4 structure at the PBE level of DFT.

total moment = 0.000 μB per cell
ΔE_f = -0.47 eV per atom

Geometry as CIF:
```
data_TmNbIr4
_chemical_formula_sum 'Tm4 Nb4 Ir16'
_cell_length_a 7.424
_cell_length_b 7.424
_cell_length_c 7.424
_cell_angle_alpha 90.00
_cell_angle_beta 90.00
_cell_angle_gamma 90.00
_symmetry_space_group_name_H-M 'F -4 3 m'
_symmetry_Int_Tables_number 216
_symmetry_space_group_name_Hall 'F -4 2 3'
loop_
_atom_site_label
_atom_site_type_symbol
_atom_site_fract_x
_atom_site_fract_y
_atom_site_fract_z
_atom_site_occupancy
Tm1 Tm 0.000 0.000 0.000 1
Nb1 Nb 0.250 0.250 0.250 1
Ir1 Ir 0.125 0.125 0.625 1
```

---

Entry 7:
Computed, not measured: a geometry-optimized Li2ZnCr structure at the PBE level of DFT.

total moment = 7.693 μB per cell
distance to the lowest polymorph of the same formula = 17 meV per atom
ΔE_f = 0.21 eV per atom

Geometry as CIF:
```
data_Li2ZnCr
_chemical_formula_sum 'Li4 Zn2 Cr2'
_cell_length_a 3.820
_cell_length_b 3.820
_cell_length_c 8.505
_cell_angle_alpha 90.00
_cell_angle_beta 90.00
_cell_angle_gamma 90.00
_symmetry_space_group_name_H-M 'I 4/m m m'
_symmetry_Int_Tables_number 139
_symmetry_space_group_name_Hall '-I 4 2'
loop_
_atom_site_label
_atom_site_type_symbol
_atom_site_fract_x
_atom_site_fract_y
_atom_site_fract_z
_atom_site_occupancy
Li1 Li 0.000 0.500 0.250 1
Zn1 Zn 0.000 0.000 0.000 1
Cr1 Cr 0.000 0.000 0.500 1
```

---

Entry 8:
Computed, not measured: a geometry-optimized Y2MgW structure at the PBE level of DFT.

total moment = 0.000 μB per cell
ΔE_f = 0.46 eV per atom

Geometry as CIF:
```
data_Y2MgW
_chemical_formula_sum 'Y2 Mg1 W1'
_cell_length_a 3.220
_cell_length_b 4.010
_cell_length_c 7.534
_cell_angle_alpha 90.00
_cell_angle_beta 90.00
_cell_angle_gamma 90.00
_symmetry_space_group_name_H-M 'P m m 2'
_symmetry_Int_Tables_number 25
_symmetry_space_group_name_Hall 'P 2 -2'
loop_
_atom_site_label
_atom_site_type_symbol
_atom_site_fract_x
_atom_site_fract_y
_atom_site_fract_z
_atom_site_occupancy
Y1 Y 0.000 0.000 0.000 1
Y2 Y 0.500 0.500 0.347 1
Mg1 Mg 0.000 0.000 0.591 1
W1 W 0.500 0.500 0.763 1
```

---

Entry 9:
Computed, not measured: a geometry-optimized YAlP2 structure at the PBE level of DFT.

total moment = 0.000 μB per cell
ΔE_f = -0.76 eV per atom

Geometry as CIF:
```
data_YAlP2
_chemical_formula_sum 'Y2 Al2 P4'
_cell_length_a 11.686
_cell_length_b 3.610
_cell_length_c 3.856
_cell_angle_alpha 90.00
_cell_angle_beta 90.23
_cell_angle_gamma 90.00
_symmetry_space_group_name_H-M 'C 1 m 1'
_symmetry_Int_Tables_number 8
_symmetry_space_group_name_Hall 'C -2y'
loop_
_atom_site_label
_atom_site_type_symbol
_atom_site_fract_x
_atom_site_fract_y
_atom_site_fract_z
_atom_site_occupancy
Y1 Y 0.000 0.000 0.000 1
Al1 Al 0.241 0.000 0.504 1
P1 P 0.201 0.500 0.001 1
P2 P 0.439 0.000 0.499 1
```

---

Entry 10:
Computed, not measured: a geometry-optimized Li4RhPb5 structure at the PBE level of DFT.

total moment = 0.000 μB per cell
ΔE_f = -0.21 eV per atom

Geometry as CIF:
```
data_Li4RhPb5
_chemical_formula_sum 'Li4 Rh1 Pb5'
_cell_length_a 3.566
_cell_length_b 3.566
_cell_length_c 17.065
_cell_angle_alpha 90.00
_cell_angle_beta 90.00
_cell_angle_gamma 90.00
_symmetry_space_group_name_H-M 'P 4/m m m'
_symmetry_Int_Tables_number 123
_symmetry_space_group_name_Hall '-P 4 2'
loop_
_atom_site_label
_atom_site_type_symbol
_atom_site_fract_x
_atom_site_fract_y
_atom_site_fract_z
_atom_site_occupancy
Li1 Li 0.000 0.000 0.099 1
Li2 Li 0.000 0.000 0.308 1
Rh1 Rh 0.000 0.000 0.500 1
Pb1 Pb 0.500 0.500 0.000 1
Pb2 Pb 0.500 0.500 0.203 1
Pb3 Pb 0.500 0.500 0.409 1
```

---

Entry 11:
Computed, not measured: a geometry-optimized NaTaMn2Cd structure at the PBE level of DFT.

total moment = 0.755 μB per cell
ΔE_f = 2.33 eV per atom

Geometry as CIF:
```
data_NaTaMn2Cd
_chemical_formula_sum 'Na1 Ta1 Mn2 Cd1'
_cell_length_a 4.820
_cell_length_b 4.820
_cell_length_c 5.067
_cell_angle_alpha 90.00
_cell_angle_beta 90.00
_cell_angle_gamma 90.00
_symmetry_space_group_name_H-M 'P 4/m m m'
_symmetry_Int_Tables_number 123
_symmetry_space_group_name_Hall '-P 4 2'
loop_
_atom_site_label
_atom_site_type_symbol
_atom_site_fract_x
_atom_site_fract_y
_atom_site_fract_z
_atom_site_occupancy
Na1 Na 0.000 0.000 0.000 1
Ta1 Ta 0.500 0.500 0.000 1
Mn1 Mn 0.000 0.500 0.500 1
Cd1 Cd 0.500 0.500 0.500 1
```

---

Entry 12:
Computed, not measured: a geometry-optimized Sm2CuAs structure at the PBE level of DFT.

total moment = 0.009 μB per cell
distance to the lowest polymorph of the same formula = 0 meV per atom
ΔE_f = -0.70 eV per atom

Geometry as CIF:
```
data_Sm2CuAs
_chemical_formula_sum 'Sm6 Cu3 As3'
_cell_length_a 4.1701
_cell_length_b 4.1701
_cell_length_c 20.7775
_cell_angle_alpha 90.00
_cell_angle_beta 90.00
_cell_angle_gamma 120.00
_symmetry_space_group_name_H-M 'R -3 m'
_symmetry_Int_Tables_number 166
_symmetry_space_group_name_Hall '-R 3 2"'
loop_
_atom_site_label
_atom_site_type_symbol
_atom_site_fract_x
_atom_site_fract_y
_atom_site_fract_z
_atom_site_occupancy
Sm1 Sm 0.0000 0.0000 0.2471 1
Cu1 Cu 0.0000 0.0000 0.0000 1
As1 As 0.0000 0.0000 0.5000 1
```

---

Entry 13:
Computed, not measured: a geometry-optimized Cs3Rb3Hg4 structure at the PBE level of DFT.

total moment = 0.000 μB per cell
ΔE_f = -0.19 eV per atom

Geometry as CIF:
```
data_Cs3Rb3Hg4
_chemical_formula_sum 'Cs6 Rb6 Hg8'
_cell_length_a 5.622
_cell_length_b 13.951
_cell_length_c 14.011
_cell_angle_alpha 90.00
_cell_angle_beta 90.00
_cell_angle_gamma 90.00
_symmetry_space_group_name_H-M 'A m m 2'
_symmetry_Int_Tables_number 38
_symmetry_space_group_name_Hall 'A 2 -2'
loop_
_atom_site_label
_atom_site_type_symbol
_atom_site_fract_x
_atom_site_fract_y
_atom_site_fract_z
_atom_site_occupancy
Cs1 Cs 0.000 0.000 0.000 1
Cs2 Cs 0.000 0.172 0.669 1
Rb1 Rb 0.000 0.000 0.339 1
Rb2 Rb 0.500 0.247 0.419 1
Hg1 Hg 0.500 0.000 0.555 1
Hg2 Hg 0.500 0.000 0.783 1
Hg3 Hg 0.500 0.112 0.173 1
```

---

Entry 14:
Computed, not measured: a geometry-optimized CrCu4Pd structure at the PBE level of DFT.

total moment = 15.985 μB per cell
ΔE_f = 0.05 eV per atom

Geometry as CIF:
```
data_CrCu4Pd
_chemical_formula_sum 'Cr4 Cu16 Pd4'
_cell_length_a 6.821
_cell_length_b 6.821
_cell_length_c 6.821
_cell_angle_alpha 90.00
_cell_angle_beta 90.00
_cell_angle_gamma 90.00
_symmetry_space_group_name_H-M 'F -4 3 m'
_symmetry_Int_Tables_number 216
_symmetry_space_group_name_Hall 'F -4 2 3'
loop_
_atom_site_label
_atom_site_type_symbol
_atom_site_fract_x
_atom_site_fract_y
_atom_site_fract_z
_atom_site_occupancy
Cr1 Cr 0.000 0.000 0.000 1
Cu1 Cu 0.125 0.125 0.375 1
Pd1 Pd 0.250 0.250 0.750 1
```

---

Entry 15:
Computed, not measured: a geometry-optimized LiMgScF6 structure at the PBE level of DFT.

total moment = 0.000 μB per cell
DFT total energy = -5.9421 eV/atom

Geometry as CIF:
```
data_LiMgScF6
_chemical_formula_sum 'Li2 Mg2 Sc2 F12'
_cell_length_a 4.777
_cell_length_b 4.777
_cell_length_c 9.368
_cell_angle_alpha 90.00
_cell_angle_beta 90.00
_cell_angle_gamma 90.00
_symmetry_space_group_name_H-M 'P 42 n m'
_symmetry_Int_Tables_number 102
_symmetry_space_group_name_Hall 'P 4n -2n'
loop_
_atom_site_label
_atom_site_type_symbol
_atom_site_fract_x
_atom_site_fract_y
_atom_site_fract_z
_atom_site_occupancy
Li1 Li 0.000 0.000 0.000 1
Mg1 Mg 0.000 0.000 0.669 1
Sc1 Sc 0.000 0.000 0.334 1
F1 F 0.192 0.192 0.503 1
F2 F 0.198 0.198 0.829 1
F3 F 0.202 0.202 0.173 1
```

---

Entry 16:
Computed, not measured: a geometry-optimized Pm3Cu2Sn4 structure at the PBE level of DFT.

total moment = 0.000 μB per cell
ΔE_f = -0.60 eV per atom

Geometry as CIF:
```
data_Pm3Cu2Sn4
_chemical_formula_sum 'Pm6 Cu4 Sn8'
_cell_length_a 11.458
_cell_length_b 4.571
_cell_length_c 8.811
_cell_angle_alpha 90.00
_cell_angle_beta 106.24
_cell_angle_gamma 90.00
_symmetry_space_group_name_H-M 'C 1 2/m 1'
_symmetry_Int_Tables_number 12
_symmetry_space_group_name_Hall '-C 2y'
loop_
_atom_site_label
_atom_site_type_symbol
_atom_site_fract_x
_atom_site_fract_y
_atom_site_fract_z
_atom_site_occupancy
Pm1 Pm 0.000 0.000 0.000 1
Pm2 Pm 0.131 0.500 0.689 1
Cu1 Cu 0.196 0.500 0.379 1
Sn1 Sn 0.082 0.000 0.389 1
Sn2 Sn 0.205 0.500 0.080 1
```

---

Entry 17:
Computed, not measured: a geometry-optimized Na2AuBr6 structure at the PBE level of DFT.

total moment = 0.000 μB per cell
distance to the lowest polymorph of the same formula = 0 meV per atom

Geometry as CIF:
```
data_Na2AuBr6
_chemical_formula_sum 'Na4 Au2 Br12'
_cell_length_a 7.111
_cell_length_b 7.977
_cell_length_c 11.779
_cell_angle_alpha 90.00
_cell_angle_beta 122.55
_cell_angle_gamma 90.00
_symmetry_space_group_name_H-M 'P 1 21/c 1'
_symmetry_Int_Tables_number 14
_symmetry_space_group_name_Hall '-P 2ybc'
loop_
_atom_site_label
_atom_site_type_symbol
_atom_site_fract_x
_atom_site_fract_y
_atom_site_fract_z
_atom_site_occupancy
Na1 Na 0.198 0.202 0.189 1
Au1 Au 0.500 0.000 0.000 1
Br1 Br 0.150 0.570 0.261 1
Br2 Br 0.305 0.200 0.485 1
Br3 Br 0.314 0.636 0.610 1
```

---

Entry 18:
Computed, not measured: a geometry-optimized HgTe2 structure at the PBE level of DFT.

total moment = 0.000 μB per cell
distance to the lowest polymorph of the same formula = 19 meV per atom

Geometry as CIF:
```
data_HgTe2
_chemical_formula_sum 'Hg2 Te4'
_cell_length_a 5.959
_cell_length_b 7.742
_cell_length_c 4.494
_cell_angle_alpha 90.00
_cell_angle_beta 90.00
_cell_angle_gamma 90.00
_symmetry_space_group_name_H-M 'P n n m'
_symmetry_Int_Tables_number 58
_symmetry_space_group_name_Hall '-P 2 2n'
loop_
_atom_site_label
_atom_site_type_symbol
_atom_site_fract_x
_atom_site_fract_y
_atom_site_fract_z
_atom_site_occupancy
Hg1 Hg 0.000 0.000 0.000 1
Te1 Te 0.188 0.395 0.000 1
```

---

Entry 19:
Computed, not measured: a geometry-optimized Ni2IrAu structure at the PBE level of DFT.

total moment = 1.543 μB per cell
distance to the lowest polymorph of the same formula = 58 meV per atom
ΔE_f = 0.13 eV per atom

Geometry as CIF:
```
data_Ni2IrAu
_chemical_formula_sum 'Ni6 Ir3 Au3'
_cell_length_a 2.7330
_cell_length_b 2.7330
_cell_length_c 25.6242
_cell_angle_alpha 90.00
_cell_angle_beta 90.00
_cell_angle_gamma 120.00
_symmetry_space_group_name_H-M 'R -3 m'
_symmetry_Int_Tables_number 166
_symmetry_space_group_name_Hall '-R 3 2"'
loop_
_atom_site_label
_atom_site_type_symbol
_atom_site_fract_x
_atom_site_fract_y
_atom_site_fract_z
_atom_site_occupancy
Ni1 Ni 0.0000 0.0000 0.2457 1
Ir1 Ir 0.0000 0.0000 0.5000 1
Au1 Au 0.0000 0.0000 0.0000 1
```

---

Entry 20:
Computed, not measured: a geometry-optimized Pr4Nd4Y3 structure at the PBE level of DFT.

total moment = 0.000 μB per cell
distance to the lowest polymorph of the same formula = 34 meV per atom
ΔE_f = 0.05 eV per atom

Geometry as CIF:
```
data_Pr4Nd4Y3
_chemical_formula_sum 'Pr4 Nd4 Y3'
_cell_length_a 3.611
_cell_length_b 5.796
_cell_length_c 18.562
_cell_angle_alpha 81.08
_cell_angle_beta 84.42
_cell_angle_gamma 90.00
_symmetry_space_group_name_H-M 'P -1'
_symmetry_Int_Tables_number 2
_symmetry_space_group_name_Hall '-P 1'
loop_
_atom_site_label
_atom_site_type_symbol
_atom_site_fract_x
_atom_site_fract_y
_atom_site_fract_z
_atom_site_occupancy
Pr1 Pr 0.090 0.092 0.319 1
Pr2 Pr 0.232 0.732 0.037 1
Nd1 Nd 0.045 0.547 0.409 1
Nd2 Nd 0.181 0.181 0.139 1
Y1 Y 0.365 0.364 0.772 1
Y2 Y 0.500 0.000 0.500 1
```